# 1
First-principles (GGA-PBE) data for crystalline InCuCSe2 at its relaxed geometry, as listed in the Alexandria database.

Results
* ΔE_f (raw): 0.6714 eV/atom
* calculated total energy: -3.9341 eV per atom
* magnetic moment: 0.0 μB/f.u.

Cell lengths 4.874, 4.874, 3.765 Å; angles 90.00, 90.00, 90.00 degrees
Space group P4/mmm (No. 123)
One atom of each set of equivalent atoms:
1 In 0.000 0.000 0.000
2 Cu 0.500 0.500 0.000
3 C 0.500 0.500 0.500
4 Se 0.000 0.500 0.500

# 2
First-principles (GGA-PBE) data for crystalline Ni2WCl at its relaxed geometry, as listed in the Alexandria database.

Results
* ΔE_f (raw): 0.2424 eV/atom
* excess energy over the best structure of this formula in the dataset: 94 meV/atom
* calculated total energy: -6.3483 eV per atom
* magnetic moment: 0.0 μB/f.u.

Cell lengths 2.9084, 2.9084, 23.1021 Å; angles 90.00, 90.00, 120.00 degrees
Space group R-3m (No. 166, hexagonal axes)
One atom of each set of equivalent atoms:
1 Ni 0.0000 0.0000 0.2487
2 W 0.0000 0.0000 0.0000
3 Cl 0.0000 0.0000 0.5000

# 3
First-principles (GGA-PBE) data for crystalline PmThB2O8 at its relaxed geometry, as listed in the Alexandria database.

Results
* ΔE_f (raw): -2.4583 eV/atom
* calculated total energy: -7.8909 eV per atom
* magnetic moment: 3.0 μB/f.u.

Cell lengths 4.758, 4.758, 11.667 Å; angles 90.00, 90.00, 90.00 degrees
Space group I-4 (No. 82)
One atom of each set of equivalent atoms:
1 Pm 0.000 0.000 0.000
2 Th 0.000 0.500 0.750
3 B 0.000 0.000 0.500
4 B 0.000 0.500 0.250
5 O 0.095 0.242 0.570
6 O 0.097 0.745 0.183

# 4
First-principles (GGA-PBE) data for crystalline YCoI at its relaxed geometry, as listed in the Alexandria database.

Results
* ΔE_f (raw): -0.7943 eV/atom
* calculated total energy: -5.8343 eV per atom
* magnetic moment: 0.3 μB/f.u.

Cell lengths 3.9859, 3.9859, 36.9749 Å; angles 90.00, 90.00, 120.00 degrees
Space group R-3m (No. 166, hexagonal axes)
One atom of each set of equivalent atoms:
1 Y 0.0000 0.0000 0.0498
2 Co 0.0000 0.0000 0.3346
3 I 0.0000 0.0000 0.2251

# 5
First-principles (GGA-PBE) data for crystalline BeCr2C at its relaxed geometry, as listed in the Alexandria database.

Results
* excess energy over the best structure of this formula in the dataset: 530 meV/atom
* calculated total energy: -7.4298 eV per atom
* magnetic moment: 0.0 μB/f.u.
* calculated formation energy: 0.619 eV per atom

Cell lengths 5.174, 5.174, 5.174 Å; angles 90.00, 90.00, 90.00 degrees
Space group Fm-3m (No. 225)
One atom of each set of equivalent atoms:
1 Be 0.000 0.000 0.000
2 Cr 0.250 0.250 0.250
3 C 0.000 0.000 0.500

# 6
First-principles (GGA-PBE) data for crystalline Th2NiRh at its relaxed geometry, as listed in the Alexandria database.

Results
* calculated total energy: -6.9252 eV per atom
* magnetic moment: 0.0 μB/f.u.
* calculated formation energy: 0.068 eV per atom

Cell lengths 3.9719, 3.9719, 25.1564 Å; angles 90.00, 90.00, 120.00 degrees
Space group R-3m (No. 166, hexagonal axes)
One atom of each set of equivalent atoms:
1 Th 0.0000 0.0000 0.1008
2 Ni 0.0000 0.0000 0.0000
3 Rh 0.0000 0.0000 0.5000

# 7
First-principles (GGA-PBE) data for crystalline MnReBr2 at its relaxed geometry, as listed in the Alexandria database.

Results
* ΔE_f (raw): 1.1993 eV/atom
* excess energy over the best structure of this formula in the dataset: 991 meV/atom
* calculated total energy: -5.0415 eV per atom
* magnetic moment: 1.8 μB/f.u.

Cell lengths 3.841, 3.841, 10.991 Å; angles 90.00, 90.00, 90.00 degrees
Space group I-4m2 (No. 119)
One atom of each set of equivalent atoms:
1 Mn 0.000 0.000 0.000
2 Re 0.000 0.500 0.750
3 Br 0.000 0.000 0.500
4 Br 0.000 0.500 0.250

# 8
First-principles (GGA-PBE) data for crystalline Ge2Pb5Au12 at its relaxed geometry, as listed in the Alexandria database.

Results
* calculated total energy: -3.5721 eV per atom
* magnetic moment: 0.0 μB/f.u.
* calculated formation energy: -0.040 eV per atom

Cell lengths 17.201, 7.401, 6.636 Å; angles 90.00, 95.90, 90.00 degrees
Space group C2/m (No. 12)
One atom of each set of equivalent atoms:
1 Ge 0.000 0.210 0.000
2 Pb 0.000 0.500 0.500
3 Pb 0.200 0.000 0.061
4 Pb 0.237 0.500 0.410
5 Au 0.051 0.000 0.711
6 Au 0.090 0.500 0.086
7 Au 0.103 0.194 0.355
8 Au 0.152 0.307 0.760